CaC2 | the Alexandria database | PBE-GGA | optimized geometry; crystal system = monoclinic; space-group type = C2/m (12)
1.0
4.049 0.002 0.000
0.751 3.979 0.000
4.345 3.603 5.320
C Ca
4 2
Direct
0.985 0.985 0.595
0.026 0.026 0.741
0.015 0.015 0.405
0.974 0.974 0.259
0.590 0.590 0.233
0.410 0.410 0.767

=====

Ca3C4 | the Alexandria database | PBE-GGA | optimized geometry; crystal system = cubic; space-group type = P-43m (215)
1.0
-2.331 -4.955 2.157
0.550 -2.555 -5.274
5.376 -1.887 1.474
Ca C
3 4
Direct
0.500 0.000 0.500
0.000 0.500 0.500
0.500 0.500 0.000
0.267 0.267 0.733
0.733 0.267 0.267
0.733 0.733 0.733
0.267 0.733 0.267

=====

Ca4C3 | the Alexandria database | PBE-GGA | optimized geometry; crystal system = cubic; space-group type = Pm-3m (221)
1.0
-2.559 -4.383 1.320
0.006 -1.516 -5.021
4.578 -2.449 0.745
C Ca
3 4
Direct
0.000 0.500 0.000
0.500 0.000 0.000
0.000 0.000 0.500
0.500 0.000 0.500
0.000 0.000 0.000
0.500 0.500 0.000
0.000 0.500 0.500

=====

CaC | the Alexandria database | PBE-GGA | optimized geometry; crystal system = monoclinic; space-group type = C2/m (12)
1.0
-1.747 -3.069 -0.514
0.991 -1.073 3.044
-9.907 6.808 5.627
Ca C
4 4
Direct
0.688 0.500 0.118
0.312 0.500 0.882
0.688 0.000 0.618
0.312 0.000 0.382
0.852 0.500 0.465
0.852 0.000 0.965
0.148 0.500 0.535
0.148 0.000 0.035

=====

Ca5C | the Alexandria database | PBE-GGA | optimized geometry; crystal system = monoclinic; space-group type = Cm (8)
1.0
0.000 -6.221 -2.949
3.303 -4.828 -3.630
3.037 -4.088 6.362
Ca C
5 1
Direct
0.644 0.644 0.911
0.556 0.556 0.276
0.260 0.260 0.511
0.381 0.381 0.061
0.973 0.973 0.714
0.019 0.019 0.028

=====

CaC3 | the Alexandria database | PBE-GGA | optimized geometry; crystal system = trigonal; space-group type = R-3m (166)
1.0
4.744 -0.004 -0.002
3.658 3.021 -0.002
3.658 1.314 2.721
C Ca
3 1
Direct
0.500 0.500 0.500
0.202 0.202 0.202
0.798 0.798 0.798
0.000 0.000 0.000

=====

Ca5C | the Alexandria database | PBE-GGA | optimized geometry; crystal system = hexagonal; space-group type = P-62m (189)
1.0
2.624 1.569 -7.745
-8.121 0.367 1.799
0.343 3.527 0.831
Ca C
5 1
Direct
0.667 0.333 0.500
0.333 0.667 0.500
0.786 0.000 0.000
0.000 0.786 0.000
0.214 0.214 0.000
0.000 0.000 0.500

=====

CaC | the Alexandria database | PBE-GGA | optimized geometry; crystal system = monoclinic; space-group type = Cm (8)
1.0
1.413 4.824 0.008
-1.413 4.824 0.008
0.000 2.224 7.151
C Ca
3 3
Direct
0.520 0.520 0.869
0.962 0.962 0.924
0.655 0.655 0.274
0.081 0.081 0.555
0.396 0.396 0.240
0.220 0.220 0.971

=====

CaC | the Alexandria database | PBE-GGA | optimized geometry; crystal system = tetragonal; space-group type = I4_1/amd (141)
1.0
5.609 -0.010 0.000
3.279 4.551 0.000
-4.444 -2.271 2.561
C Ca
2 2
Direct
0.250 0.750 0.500
0.000 0.000 0.000
0.500 0.500 0.000
0.750 0.250 0.500

=====

CaC2 | the Alexandria database | PBE-GGA | optimized geometry; crystal system = cubic; space-group type = Fm-3m (225)
1.0
4.010 0.000 0.000
2.005 3.473 0.000
2.005 1.158 3.274
C Ca
2 1
Direct
0.750 0.750 0.750
0.250 0.250 0.250
0.000 0.000 0.000

=====

CaC | the Alexandria database | PBE-GGA | optimized geometry; crystal system = tetragonal; space-group type = I4/mmm (139)
1.0
-2.775 -8.979 2.246
8.357 -1.423 4.637
-1.154 0.949 2.371
C Ca
8 8
Direct
0.224 0.776 0.000
0.776 0.224 0.000
0.224 0.224 0.000
0.776 0.776 0.000
0.276 0.724 0.500
0.276 0.276 0.500
0.724 0.724 0.500
0.724 0.276 0.500
0.500 0.248 0.000
0.000 0.252 0.500
0.000 0.748 0.500
0.248 0.500 0.000
0.500 0.752 0.000
0.252 0.000 0.500
0.748 0.000 0.500
0.752 0.500 0.000

=====

CaC | the Alexandria database | PBE-GGA | optimized geometry; crystal system = trigonal; space-group type = R-3m (166)
1.0
-0.471 -4.522 -5.842
1.157 -6.261 -3.775
-1.990 -6.149 -3.609
C Ca
2 2
Direct
0.673 0.673 0.673
0.327 0.327 0.327
0.914 0.914 0.914
0.086 0.086 0.086

=====

The evaluated formation energy for the records listed, in turn: 8.18 224.35 79.49 8.54 23.44 197.32 36.37 46.92 130.97 242.49 33.11 84.49 kJ per mole of atoms.
The evaluated offset from the most stable computed form for the records listed, in turn: 70 1600 37 90 0 1524 134 487 1358 2498 344 877 meV per atom.